# Tb2Sm3Te5

An optimized crystal structure of Tb2Sm3Te5 (GGA-PBE, Alexandria).

The density of states at the Fermi level comes out at 6.7 states/eV/cell. The calculation puts the mass density at 6886 kg/m3. As for the total magnetization: 0.0 μB/cell. The calculation puts the total energy at -5.092 eV/atom. As for the volume: 339.3 Å³/cell. As for the space group: C2/m, No. 12. The formation energy without anion corrections is -1.1796 eV/atom.

a b c (Å): 8.674 8.674 11.548
angles (deg): 125.25 125.25 29.10
Fractional coordinates of all 10 atoms:
Tb 0.013 0.013 0.319
Tb 0.987 0.987 0.681
Sm 0.268 0.268 0.328
Sm 0.500 0.500 0.000
Sm 0.732 0.732 0.672
Te 0.139 0.139 0.997
Te 0.357 0.357 0.667
Te 0.500 0.500 0.500
Te 0.643 0.643 0.333
Te 0.861 0.861 0.003